# 1
The following is a PBE calculation of a relaxed structure of Ba5Ir, from Alexandria.

Unit cell a=15.001 b=4.105 c=10.819 alpha=90.00 beta=114.94 gamma=90.00
Space group C2/m (No. 12)
Unique sites:
Ba 0.000 0.000 0.000 x2
Ba 0.109 0.500 0.394 x4
Ba 0.164 0.500 0.766 x4
Ir 0.000 0.000 0.500 x2

Values from the calculation:
* crystal system: monoclinic
* ΔH_f (0 K): 0.020 eV/atom
* magnetic moment: 0.00 μB per formula unit

=====

# 2
The following is a PBE calculation of a relaxed structure of Cu4TeSe, from Alexandria.

Unit cell a=4.446 b=7.140 c=6.984 alpha=90.00 beta=91.34 gamma=90.00
Space group P2_1/m (No. 11)
Unique sites:
Cu 0.157 0.037 0.150 x4
Cu 0.223 0.250 0.825 x2
Cu 0.266 0.750 0.367 x2
Te 0.228 0.250 0.440 x2
Se 0.310 0.750 0.991 x2

Values from the calculation:
* formation energy from raw total energies: 28.8 meV/atom
* crystal system: monoclinic
* magnetic moment: 0.00 μB per formula unit

=====

# 3
The following is a PBE calculation of a relaxed structure of La3PdPb, from Alexandria.

Unit cell a=5.638 b=5.638 c=5.638 alpha=90.00 beta=90.00 gamma=90.00
Space group Pm-3m (No. 221)
Unique sites:
La 0.000 0.000 0.500 x3
Pd 0.000 0.000 0.000 x1
Pb 0.500 0.500 0.500 x1

Values from the calculation:
* crystal system: cubic
* ΔH_f (0 K): -0.376 eV/atom
* magnetic moment: 0.00 μB per formula unit

=====

# 4
The following is a PBE calculation of a relaxed structure of TmNb2, from Alexandria.

Unit cell a=3.498 b=3.498 c=10.722 alpha=90.00 beta=90.00 gamma=90.00
Space group I4/mmm (No. 139)
Unique sites:
Tm 0.000 0.000 0.000 x2
Nb 0.000 0.000 0.306 x4

Values from the calculation:
* crystal system: tetragonal
* ΔH_f (0 K): 0.118 eV/atom
* magnetic moment: 0.00 μB per formula unit

=====

# 5
The following is a PBE calculation of a relaxed structure of TeMoIr, from Alexandria.

Unit cell a=3.110 b=3.110 c=11.183 alpha=90.00 beta=90.00 gamma=90.00
Space group I4mm (No. 107)
Unique sites:
Te 0.000 0.000 0.000 x2
Mo 0.000 0.000 0.669 x2
Ir 0.000 0.000 0.307 x2

Values from the calculation:
* formation energy from raw total energies: 319.2 meV/atom
* crystal system: tetragonal
* magnetic moment: 0.00 μB per formula unit

=====

# 6
The following is a PBE calculation of a relaxed structure of TaAl6Ga2, from Alexandria.

Unit cell a=12.693 b=4.878 c=5.010 alpha=90.00 beta=104.06 gamma=90.00
Space group C2/m (No. 12)
Unique sites:
Ta 0.000 0.000 0.000 x2
Al 0.111 0.000 0.568 x4
Al 0.157 0.500 0.309 x4
Al 0.221 0.000 0.129 x4
Ga 0.060 0.500 0.778 x4

Values from the calculation:
* crystal system: monoclinic
* ΔH_f (0 K): -0.001 eV/atom
* magnetic moment: 0.00 μB per formula unit

=====

# 7
The following is a PBE calculation of a relaxed structure of Cd2CoP, from Alexandria.

Unit cell a=2.9974 b=2.9974 c=26.9143 alpha=90.00 beta=90.00 gamma=120.00
Space group R-3m (No. 166, hexagonal axes)
Unique sites:
Cd 0.0000 0.0000 0.2453 x6
Co 0.0000 0.0000 0.5000 x3
P 0.0000 0.0000 0.0000 x3

Values from the calculation:
* crystal system: trigonal
* ΔH_f (0 K): 0.469 eV/atom
* magnetic moment: 1.51 μB per formula unit

=====

# 8
The following is a PBE calculation of a relaxed structure of LaNdP, from Alexandria.

Unit cell a=6.976 b=6.976 c=6.976 alpha=90.00 beta=90.00 gamma=90.00
Space group F-43m (No. 216)
Unique sites:
La 0.000 0.000 0.000 x4
Nd 0.000 0.000 0.500 x4
P 0.250 0.250 0.750 x4

Values from the calculation:
* crystal system: cubic
* ΔH_f (0 K): -0.890 eV/atom
* magnetic moment: 0.00 μB per formula unit

=====

# 9
The following is a PBE calculation of a relaxed structure of Y3Be5, from Alexandria.

Unit cell a=9.1903 b=9.1903 c=3.9165 alpha=90.00 beta=90.00 gamma=120.00
Space group P6_3/mcm (No. 193)
Unique sites:
Y 0.0000 0.3561 0.2500 x6
Be 0.0000 0.1327 0.7500 x6
Be 0.3333 0.6667 0.0000 x4

Values from the calculation:
* crystal system: hexagonal
* ΔH_f (0 K): 0.149 eV/atom
* magnetic moment: 0.00 μB per formula unit

=====

# 10
The following is a PBE calculation of a relaxed structure of Zn4Cr, from Alexandria.

Unit cell a=4.965 b=4.965 c=4.965 alpha=90.00 beta=90.00 gamma=90.00
Space group Pm-3m (No. 221)
Unique sites:
Zn 0.000 0.000 0.000 x1
Zn 0.000 0.500 0.500 x3
Cr 0.500 0.500 0.500 x1

Values from the calculation:
* crystal system: cubic
* ΔH_f (0 K): 0.775 eV/atom
* magnetic moment: 4.56 μB per formula unit

=====

# 11
The following is a PBE calculation of a relaxed structure of Na3SmZr2Se6, from Alexandria.

Unit cell a=6.866 b=11.905 c=7.508 alpha=90.00 beta=107.88 gamma=90.00
Space group C2/m (No. 12)
Unique sites:
Na 0.000 0.000 0.000 x2
Na 0.000 0.339 0.000 x4
Sm 0.000 0.500 0.500 x2
Zr 0.000 0.168 0.500 x4
Se 0.226 0.000 0.729 x4
Se 0.248 0.175 0.270 x8

Values from the calculation:
* formation energy from raw total energies: -1410.3 meV/atom
* crystal system: monoclinic
* magnetic moment: 0.00 μB per formula unit

=====

# 12
The following is a PBE calculation of a relaxed structure of NbHgS2, from Alexandria.

Unit cell a=3.9539 b=3.9539 c=9.2898 alpha=90.00 beta=90.00 gamma=120.00
Space group P3m1 (No. 156)
Unique sites:
Nb 0.0000 0.0000 0.0000 x1
Hg 0.6667 0.3333 0.5474 x1
S 0.0000 0.0000 0.2322 x1
S 0.3333 0.6667 0.9137 x1

Values from the calculation:
* formation energy from raw total energies: -353.9 meV/atom
* crystal system: trigonal
* magnetic moment: 0.00 μB per formula unit

=====

- magnetic moment of number 1 (Ba5Ir)?
  0.00 μB per formula unit